Record 1
! PBEsol Cd2CoHg, optimized geometry; values from VASP
! - VASP energy: -0.0880 hartree per atom
! - Magnetization: 0.349 μB per atom
! - ΔH_f (0 K): 0.2800 eV/atom
&SYSTEM
  ibrav = 0, nat = 4, ntyp = 3
/
ATOMIC_SPECIES
Co 58.93 Co.upf
Cd 112.41 Cd.upf
Hg 200.59 Hg.upf
ATOMIC_POSITIONS crystal
Co 0.0000 0.0000 0.0000
Cd 0.2607 0.2607 0.2179
Cd 0.7393 0.7393 0.7821
Hg 0.5000 0.5000 0.5000
CELL_PARAMETERS angstrom
2.9798 0.0000 0.0000
1.4899 2.5806 0.0000
1.4899 0.8602 9.4036

***

Record 2
! PBEsol LiMgB3H18N2, optimized geometry; values from VASP
! - VASP energy: -0.1604 hartree per atom
! - Magnetization: 0.000 μB per atom
&SYSTEM
  ibrav = 0, nat = 50, ntyp = 5
/
ATOMIC_SPECIES
N 14.01 N.upf
H 1.01 H.upf
B 10.81 B.upf
Mg 24.30 Mg.upf
Li 6.94 Li.upf
ATOMIC_POSITIONS crystal
N 0.6667 0.3333 0.2984
N 0.6667 0.3333 0.7547
N 0.3333 0.6667 0.7984
N 0.3333 0.6667 0.2547
H 0.3511 0.1251 0.0264
H 0.7791 0.3119 0.3487
H 0.8749 0.2260 0.0264
H 0.6867 0.4667 0.7044
H 0.0253 0.4533 0.5264
H 0.9666 0.2106 0.6597
H 0.7894 0.7559 0.6597
H 0.2209 0.6881 0.8487
H 0.0366 0.7939 0.8981
H 0.7939 0.7572 0.3981
H 0.7572 0.9634 0.8981
H 0.2061 0.2428 0.8981
H 0.5467 0.5720 0.5264
H 0.3133 0.5333 0.2044
H 0.2260 0.3511 0.5264
H 0.2200 0.6867 0.2044
H 0.4280 0.9747 0.5264
H 0.3119 0.5328 0.8487
H 0.6489 0.8749 0.5264
H 0.1251 0.7740 0.5264
H 0.5720 0.0253 0.0264
H 0.2441 0.0334 0.6597
H 0.2428 0.0366 0.3981
H 0.6881 0.4672 0.3487
H 0.7800 0.3133 0.7044
H 0.4672 0.7791 0.8487
H 0.0334 0.7894 0.1597
H 0.4667 0.7800 0.2044
H 0.5333 0.2200 0.7044
H 0.5328 0.2209 0.3487
H 0.4533 0.4280 0.0264
H 0.9747 0.5467 0.0264
H 0.7740 0.6489 0.0264
H 0.7559 0.9666 0.1597
H 0.2106 0.2441 0.1597
H 0.9634 0.2061 0.3981
B 0.2569 0.9530 0.5276
B 0.9530 0.6961 0.0276
B 0.7431 0.0470 0.0276
B 0.0470 0.3039 0.5276
B 0.6961 0.7431 0.5276
B 0.3039 0.2569 0.0276
Mg 0.6667 0.3333 0.0265
Mg 0.3333 0.6667 0.5265
Li 0.0000 0.0000 0.7747
Li 0.0000 0.0000 0.2747
CELL_PARAMETERS angstrom
-7.3997 0.0115 -2.0085
2.4106 -4.4907 5.7283
-1.3657 5.7265 5.0640